PBE with a Hubbard U Ni2ClO, optimized geometry; crystal system = tetragonal; density = 4.520 g/cm³; calculated total energy = -0.2495 Ry/atom
1.0
4.798 0.000 0.000
0.000 4.798 0.000
2.399 2.399 5.388
Cl Ni O
2 4 2
direct
0.000 0.000 0.000
0.750 0.250 0.500
0.875 0.466 0.750
0.216 0.125 0.250
0.375 0.784 0.750
0.534 0.625 0.250
0.250 0.750 0.500
0.500 0.500 0.000